A | # CaErPu

CaErPu after structural relaxation (PBE-GGA, the Alexandria database).

Cell: 3.502 3.502 15.776 Å, 90.00 90.00 90.00°
Space group I4mm (No. 107)
Inequivalent atoms, fractional coordinates:
Ca 0.000 0.000 0.000
Er 0.000 0.000 0.321
Pu 0.000 0.000 0.672

## Properties
theoretical density	7.748	Mg/m³

***

B | # CaErPu

CaErPu after structural relaxation (PBE-GGA, the Alexandria database).

Cell: 11.381 3.254 10.684 Å, 90.00 90.37 90.00°
Space group C2/m (No. 12)
Inequivalent atoms, fractional coordinates:
Ca 0.129 0.000 0.410
Er 0.136 0.000 0.078
Pu 0.132 0.000 0.766

## Properties
theoretical density	7.576	Mg/m³

***

So which one wins? Going from most stable to least: A, B.